Entry 1:
! PBE-GGA BaAcPu2O8, relaxed; values from VASP
! DOS(E_F): 11.19 states/eV per cell
! Theoretical density: 9.20 g/cm³
! Formation energy (no corrections): -2.73 eV/atom
&SYSTEM
  ibrav = 0, nat = 12, ntyp = 4
/
ATOMIC_SPECIES
Ba 137.33 Ba.upf
Ac 227.00 Ac.upf
Pu 244.00 Pu.upf
O 16.00 O.upf
ATOMIC_POSITIONS crystal
Ba 0.0000 0.0000 0.0000
Ac 0.7500 0.2500 0.5000
Pu 0.5000 0.5000 0.0000
Pu 0.2500 0.7500 0.5000
O 0.8626 0.8328 0.2489
O 0.3863 0.4161 0.2489
O 0.5776 0.6162 0.7401
O 0.1625 0.1239 0.7401
O 0.8761 0.4224 0.2599
O 0.3838 0.8375 0.2599
O 0.1672 0.6137 0.7511
O 0.5839 0.1374 0.7511
CELL_PARAMETERS angstrom
5.7302 0.0000 0.0000
0.0000 5.7302 0.0000
-2.8651 -2.8651 5.3908

Entry 2:
! PBE-GGA NiAg2Cl, relaxed; values from VASP
! DOS(E_F): 3.24 states/eV per cell
! Theoretical density: 7.41 g/cm³
! Formation energy (no corrections): 0.38 eV/atom
&SYSTEM
  ibrav = 0, nat = 4, ntyp = 3
/
ATOMIC_SPECIES
Ag 107.87 Ag.upf
Cl 35.45 Cl.upf
Ni 58.69 Ni.upf
ATOMIC_POSITIONS crystal
Ag 0.0000 0.0000 0.0000
Ag 0.5000 0.5000 0.0000
Cl 0.5000 0.0000 0.5000
Ni 0.0000 0.5000 0.5000
CELL_PARAMETERS angstrom
3.1846 0.0000 0.0000
0.0000 4.5950 0.0000
0.0000 0.0000 4.7477

Entry 3:
! PBE-GGA TlRe2Au, relaxed; values from VASP
! DOS(E_F): 1.03 states/eV per cell
! ΔH_f (0 K): 833.5 meV/atom
! Theoretical density: 17.26 g/cm³
&SYSTEM
  ibrav = 0, nat = 4, ntyp = 3
/
ATOMIC_SPECIES
Au 196.97 Au.upf
Re 186.21 Re.upf
Tl 204.38 Tl.upf
ATOMIC_POSITIONS crystal
Au 0.5000 0.7500 0.7500
Re 0.0000 0.0597 0.9632
Re 0.0000 0.4403 0.5368
Tl 0.5000 0.2500 0.2500
CELL_PARAMETERS angstrom
4.9711 0.0000 0.0000
0.0000 3.1845 -0.0072
0.0000 -0.2966 4.7020

Entry 4:
! PBE-GGA Cd6Ag2Pt, relaxed; values from VASP
! DOS(E_F): 2.10 states/eV per cell
! ΔH_f (0 K): -88.3 meV/atom
! Theoretical density: 10.13 g/cm³
&SYSTEM
  ibrav = 0, nat = 9, ntyp = 3
/
ATOMIC_SPECIES
Cd 112.41 Cd.upf
Ag 107.87 Ag.upf
Pt 195.08 Pt.upf
ATOMIC_POSITIONS crystal
Cd 0.3350 0.6700 0.9421
Cd 0.6650 0.3300 0.0579
Cd 0.9977 0.9953 0.1848
Cd 0.6635 0.3270 0.4029
Cd 0.0023 0.0047 0.8152
Cd 0.3365 0.6730 0.5971
Ag 0.6725 0.3450 0.7239
Ag 0.3275 0.6550 0.2761
Pt 0.0000 0.0000 0.5000
CELL_PARAMETERS angstrom
4.3610 0.0000 0.0000
-2.1805 4.4392 -1.2154
0.0000 0.2785 9.1095

Entry 5:
! PBE-GGA NiOs2Se, relaxed; values from VASP
! DOS(E_F): 4.79 states/eV per cell
! Theoretical density: 15.12 g/cm³
! Formation energy (no corrections): 0.38 eV/atom
&SYSTEM
  ibrav = 0, nat = 4, ntyp = 3
/
ATOMIC_SPECIES
Ni 58.69 Ni.upf
Os 190.23 Os.upf
Se 78.96 Se.upf
ATOMIC_POSITIONS crystal
Ni 0.7537 0.7537 0.7537
Os 0.0006 0.0006 0.0006
Os 0.2500 0.2500 0.2500
Se 0.4957 0.4957 0.4957
CELL_PARAMETERS angstrom
8.3466 -0.0018 -0.0010
7.8662 2.7908 -0.0010
7.8662 1.3532 2.4408

What did the fourth record say?
! PBE-GGA Cd6Ag2Pt, relaxed; values from VASP
! DOS(E_F): 2.10 states/eV per cell
! ΔH_f (0 K): -88.3 meV/atom
! Theoretical density: 10.13 g/cm³
&SYSTEM
  ibrav = 0, nat = 9, ntyp = 3
/
ATOMIC_SPECIES
Cd 112.41 Cd.upf
Ag 107.87 Ag.upf
Pt 195.08 Pt.upf
ATOMIC_POSITIONS crystal
Cd 0.3350 0.6700 0.9421
Cd 0.6650 0.3300 0.0579
Cd 0.9977 0.9953 0.1848
Cd 0.6635 0.3270 0.4029
Cd 0.0023 0.0047 0.8152
Cd 0.3365 0.6730 0.5971
Ag 0.6725 0.3450 0.7239
Ag 0.3275 0.6550 0.2761
Pt 0.0000 0.0000 0.5000
CELL_PARAMETERS angstrom
4.3610 0.0000 0.0000
-2.1805 4.4392 -1.2154
0.0000 0.2785 9.1095